Material: AcSbPtBr
Method: DFT, PBE
State: optimized geometry

Cell: 4.6230 4.6230 14.3271 Å, 80.72 80.72 60.00°
Last column: nearest neighbours and their distance in Å.
Element x y z (fractional)
Pt1 0.3720 0.3720 0.8840  4 Sb 2.71-2.81
Pt2 0.6280 0.6280 0.1160  4 Sb 2.71-2.81
Sb1 0.3054 0.3054 0.0839  4 Pt 2.71-2.81
Sb2 0.6946 0.6946 0.9161  4 Pt 2.71-2.81
Ac1 0.0816 0.0816 0.7552  3 Pt 3.23, 3 Br 3.25, 3 Sb 3.50
Ac2 0.9184 0.9184 0.2448  3 Pt 3.23, 3 Br 3.25, 3 Sb 3.50
Br1 0.7921 0.7921 0.6237  3 Ac 3.25
Br2 0.2079 0.2079 0.3763  3 Ac 3.25

## Properties
Fermi-level density of states	4.073	states/eV/cell
SG	R-3m
E_tot	-5.245	eV per atom
total magnetic moment	0.00	μB/f.u.
formation energy (no corrections)	-1.2589	eV per atom

Material: Ac6Pt2SeBr3
Method: DFT, PBE
State: optimized geometry

Cell: 7.8764 7.8764 8.2261 Å, 99.16 99.16 119.80°
Last column: nearest neighbours and their distance in Å.
Element x y z (fractional)
Br1 0.5000 0.5000 0.5000  6 Ac 3.38-3.54
Br2 0.8468 0.1532 0.5000  6 Ac 3.45-3.56
Br3 0.1532 0.8468 0.5000  6 Ac 3.45-3.56
Ac1 0.2854 0.2854 0.7956  2 Pt 3.02, 1 Se 3.21, 1 Br 3.38
Ac2 0.7146 0.7146 0.2044  2 Pt 3.02, 1 Se 3.21, 1 Br 3.38
Ac3 0.4246 0.0703 0.2079  2 Pt 3.02, 1 Se 3.23
Ac4 0.9297 0.5754 0.7921  2 Pt 3.02, 1 Se 3.23
Ac5 0.5754 0.9297 0.7921  2 Pt 3.02, 1 Se 3.23
Ac6 0.0703 0.4246 0.2079  2 Pt 3.02, 1 Se 3.23
Pt1 0.3324 0.6676 0.0000  6 Ac 3.02
Pt2 0.6676 0.3324 0.0000  6 Ac 3.02
Se1 0.0000 0.0000 0.0000  6 Ac 3.21-3.23

## Properties
Fermi-level density of states	9.646	states/eV/cell
SG	C2/m
E_tot	-5.148	eV per atom
total magnetic moment	0.00	μB/f.u.
formation energy (no corrections)	-1.3788	eV per atom

Material: Ac4PtSe2Br
Method: DFT, PBE
State: optimized geometry

Cell: 4.3446 7.9454 7.8855 Å, 71.52 90.00 90.00°
Last column: nearest neighbours and their distance in Å.
Element x y z (fractional)
Ac1 0.5000 0.7586 0.2358  3 Se 3.10-3.25, 1 Pt 3.18, 2 Br 3.25
Ac2 0.0000 0.2661 0.2262  2 Pt 3.04, 3 Se 3.17-3.31, 1 Br 3.26
Ac3 0.0000 0.7339 0.7738  2 Pt 3.04, 3 Se 3.17-3.31, 1 Br 3.26
Ac4 0.5000 0.2414 0.7642  3 Se 3.10-3.25, 1 Pt 3.18, 2 Br 3.25
Pt1 0.5000 0.5000 0.0000  6 Ac 3.04-3.18
Se1 0.0000 0.0000 0.0000  6 Ac 3.10-3.17
Se2 0.5000 0.0000 0.5000  6 Ac 3.25-3.31
Br1 0.0000 0.5000 0.5000  6 Ac 3.25-3.26

## Properties
Fermi-level density of states	5.629	states/eV/cell
SG	P2/m
E_tot	-5.412	eV per atom
total magnetic moment	0.00	μB/f.u.
formation energy (no corrections)	-1.5226	eV per atom

Material: Ac8Pt3SeBr4
Method: DFT, PBE
State: optimized geometry

Cell: 8.9892 9.5714 8.9888 Å, 117.99 120.00 90.00°
Last column: nearest neighbours and their distance in Å.
Element x y z (fractional)
Ac1 0.2425 0.7061 0.4850  2 Pt 3.03, 1 Se 3.17
Ac2 0.2425 0.7061 0.9634  2 Pt 3.03, 1 Se 3.17
Ac3 0.2791 0.2939 0.0366  2 Pt 3.03, 1 Se 3.17
Ac4 0.2684 0.3048 0.5367  3 Pt 3.03
Ac5 0.7575 0.2939 0.0366  2 Pt 3.03, 1 Se 3.17
Ac6 0.7316 0.6952 0.4633  3 Pt 3.03
Ac7 0.7209 0.7061 0.9634  2 Pt 3.03, 1 Se 3.17
Ac8 0.7575 0.2939 0.5150  2 Pt 3.03, 1 Se 3.17
Br1 0.0000 0.0000 0.5000  6 Ac 3.55-3.57
Br2 0.5000 0.0000 0.0000  6 Ac 3.43
Br3 0.0000 0.0000 0.0000  6 Ac 3.55-3.57
Br4 0.5000 0.0000 0.5000  6 Ac 3.55-3.57
Pt1 0.5000 0.5000 0.0000  6 Ac 3.03
Pt2 0.5000 0.5000 0.5000  6 Ac 3.03
Pt3 0.0000 0.5000 0.5000  6 Ac 3.03
Se1 0.0000 0.5000 0.0000  6 Ac 3.17

## Properties
Fermi-level density of states	13.739	states/eV/cell
SG	R-3m
E_tot	-5.173	eV per atom
total magnetic moment	0.00	μB/f.u.
formation energy (no corrections)	-1.3505	eV per atom

Material: Ac4SiPtBr2
Method: DFT, PBE
State: optimized geometry

Cell: 4.4153 8.1170 8.1164 Å, 72.68 90.00 90.00°
Last column: nearest neighbours and their distance in Å.
Element x y z (fractional)
Ac1 0.5000 0.7152 0.2607  2 Si 3.11, 1 Pt 3.12, 3 Br 3.43
Ac2 0.0000 0.7014 0.7769  2 Pt 3.01, 1 Si 3.15
Ac3 0.5000 0.2848 0.7393  2 Si 3.11, 1 Pt 3.12, 3 Br 3.43
Ac4 0.0000 0.2986 0.2231  2 Pt 3.01, 1 Si 3.15
Br1 0.0000 0.0000 0.0000  6 Ac 3.43
Br2 0.5000 0.0000 0.5000  6 Ac 3.43-3.54
Si1 0.0000 0.5000 0.5000  6 Ac 3.11-3.15
Pt1 0.5000 0.5000 0.0000  6 Ac 3.01-3.12

## Properties
Fermi-level density of states	6.237	states/eV/cell
SG	P2/m
E_tot	-5.047	eV per atom
total magnetic moment	0.00	μB/f.u.
formation energy (no corrections)	-1.1416	eV per atom

Material: Ac2SmPt2Br2
Method: DFT, PBE
State: optimized geometry

Cell: 5.3758 5.3758 9.0587 Å, 107.26 107.26 90.00°
Last column: nearest neighbours and their distance in Å.
Element x y z (fractional)
Br1 0.1950 0.1950 0.3900  1 Ac 3.15, 1 Sm 3.21
Br2 0.8050 0.8050 0.6100  1 Ac 3.15, 1 Sm 3.21
Pt1 0.5000 0.0000 0.0000  2 Sm 2.69
Pt2 0.0000 0.5000 0.0000  2 Sm 2.69
Ac1 0.6136 0.6136 0.2272  1 Br 3.15, 4 Pt 3.27
Ac2 0.3864 0.3864 0.7728  1 Br 3.15, 4 Pt 3.27
Sm1 0.0000 0.0000 0.0000  4 Pt 2.69

## Properties
Fermi-level density of states	5.009	states/eV/cell
SG	I4/mmm
E_tot	-5.252	eV per atom
total magnetic moment	0.00	μB/f.u.
formation energy (no corrections)	-1.1997	eV per atom